First-principles (PBE-GGA) data for Ca2AlPd2 after structural relaxation, as listed in the Alexandria database.

Properties
Total magnetization (μB/atom): 0.000
E_tot (eV per atom): -4.403
ΔH_f (0 K) (meV per atom): -776.7

a b c (Å): 5.785 5.778 7.803
angles (deg): 100.94 90.00 120.04
Element x y z (fractional)
Al  0.880  0.000  0.250
Al  0.120  0.000  0.750
Ca  0.219  0.700  0.351
Ca  0.519  0.300  0.149
Ca  0.781  0.300  0.649
Ca  0.481  0.700  0.851
Pd  0.004  0.745  0.997
Pd  0.259  0.255  0.503
Pd  0.996  0.255  0.003
Pd  0.741  0.745  0.497